Entry 1:
Below is LaIn2Ga2 after structural relaxation, with properties calculated at the PBE level.

Calculated values
Total moment (μB/atom): 0.000
Energy of formation from the pure elements (kcal/mol of atoms): -4.7
SG: P4/mbm (127)
Fermi-level density of states (states/eV per atom): 0.6734
ρ (kg/m³): 6824

POSCAR file:
```
LaIn2Ga2
1.0
8.411 0.000 0.000
0.000 8.411 0.000
0.000 0.000 3.495
La In Ga
2 4 4
Direct
0.000 0.000 0.000
0.500 0.500 0.000
0.127 0.373 0.000
0.373 0.873 0.000
0.627 0.127 0.000
0.873 0.627 0.000
0.171 0.671 0.500
0.329 0.171 0.500
0.671 0.829 0.500
0.829 0.329 0.500
```

Entry 2:
Below is CeTm3Sc3 after structural relaxation, with properties calculated at the PBE level.

Calculated values
Total moment (μB/atom): 0.280
Energy of formation from the pure elements (kcal/mol of atoms): 4.2
SG: R-3 (148)
Fermi-level density of states (states/eV per atom): 2.1362
ρ (kg/m³): 6373

POSCAR file:
```
CeTm3Sc3
1.0
2.934 1.694 13.663
-2.934 1.694 13.663
0.000 -3.388 13.663
Ce Tm Sc
2 6 6
Direct
0.167 0.167 0.167
0.833 0.833 0.833
0.096 0.430 0.763
0.237 0.904 0.570
0.430 0.763 0.096
0.570 0.237 0.904
0.763 0.096 0.430
0.904 0.570 0.237
0.031 0.697 0.364
0.303 0.636 0.969
0.364 0.031 0.697
0.636 0.969 0.303
0.697 0.364 0.031
0.969 0.303 0.636
```

Entry 3:
Below is Zn2NiTe after structural relaxation, with properties calculated at the PBE level.

Calculated values
Offset from the most stable computed form (meV per atom): 237.2
Total moment (μB/atom): 0.000
SG: I-4m2 (119)
Fermi-level density of states (states/eV per atom): 0.4612
ρ (kg/m³): 7721
Energy relative to the elements, uncorrected (eV per atom): 0.20

POSCAR file:
```
Zn2NiTe
1.0
-2.045 2.045 4.076
2.045 -2.045 4.076
2.045 2.045 -4.076
Zn Ni Te
2 1 1
Direct
0.000 0.000 0.000
0.750 0.250 0.500
0.250 0.750 0.500
0.500 0.500 0.000
```

Entry 4:
Below is PmEr5Cu6 after structural relaxation, with properties calculated at the PBE level.

Calculated values
Total moment (μB/atom): 0.000
Energy of formation from the pure elements (kcal/mol of atoms): -6.0
SG: Cmmm (65)
Fermi-level density of states (states/eV per atom): 0.4299
ρ (kg/m³): 9125

POSCAR file:
```
PmEr5Cu6
1.0
2.451 -7.372 0.000
2.451 7.372 0.000
0.000 0.000 6.862
Pm Er Cu
1 5 6
Direct
0.000 0.000 0.000
0.000 0.000 0.500
0.332 0.668 0.000
0.334 0.666 0.500
0.666 0.334 0.500
0.668 0.332 0.000
0.170 0.830 0.253
0.170 0.830 0.747
0.500 0.500 0.262
0.500 0.500 0.738
0.830 0.170 0.253
0.830 0.170 0.747
```

Entry 5:
Below is CaDyPt10 after structural relaxation, with properties calculated at the PBE level.

Calculated values
Total moment (μB/atom): 0.000
Energy of formation from the pure elements (kcal/mol of atoms): -14.3
SG: Pmmm (47)
Fermi-level density of states (states/eV per atom): 0.6190
ρ (kg/m³): 16107

POSCAR file:
```
CaDyPt10
1.0
4.440 0.000 0.000
0.000 5.391 0.000
0.000 0.000 9.274
Ca Dy Pt
1 1 10
Direct
0.000 0.000 0.000
0.000 0.500 0.500
0.000 0.000 0.335
0.000 0.000 0.665
0.000 0.500 0.169
0.000 0.500 0.831
0.500 0.000 0.500
0.500 0.252 0.253
0.500 0.252 0.747
0.500 0.500 0.000
0.500 0.748 0.253
0.500 0.748 0.747
```

Entry 6:
Below is Nb11Pt9Rh4 after structural relaxation, with properties calculated at the PBE level.

Calculated values
Total moment (μB/atom): 0.000
Energy of formation from the pure elements (kcal/mol of atoms): -12.6
SG: Cmmm (65)
Fermi-level density of states (states/eV per atom): 0.7396
ρ (kg/m³): 13333

POSCAR file:
```
Nb11Pt9Rh4
1.0
6.668 -10.328 0.000
6.668 10.328 0.000
0.000 0.000 2.884
Nb Pt Rh
11 9 4
Direct
0.000 0.000 0.000
0.041 0.397 0.000
0.169 0.831 0.000
0.287 0.287 0.000
0.370 0.630 0.000
0.397 0.041 0.000
0.603 0.959 0.000
0.630 0.370 0.000
0.713 0.713 0.000
0.831 0.169 0.000
0.959 0.603 0.000
0.064 0.210 0.500
0.163 0.624 0.500
0.210 0.064 0.500
0.376 0.837 0.500
0.500 0.500 0.500
0.624 0.163 0.500
0.790 0.936 0.500
0.837 0.376 0.500
0.936 0.790 0.500
0.245 0.443 0.500
0.443 0.245 0.500
0.557 0.755 0.500
0.755 0.557 0.500
```